## AcCdSn2 (GGA-PBE)

Data for a relaxed structure of AcCdSn2.

```
data_AcCdSn2
_cell_length_a 7.810
_cell_length_b 7.810
_cell_length_c 7.810
_cell_angle_alpha 90.00
_cell_angle_beta 90.00
_cell_angle_gamma 90.00
_space_group_name_H-M_alt 'F m -3 m'
_space_group_IT_number 225
_space_group_name_Hall '-F 4 2 3'
loop_
_atom_site_label
_atom_site_fract_x
_atom_site_fract_y
_atom_site_fract_z
_atom_site_occupancy
Ac1 0.000 0.000 0.000 1
Cd1 0.000 0.000 0.500 1
Sn1 0.250 0.250 0.250 1
```

Properties
M_tot ... 0.00 μB/cell
Polymorph energy (0 for the lowest one) ... 199 meV per atom
Formation energy ... -0.252 eV per atom
ρ ... 8.043 g/cm³
N(E_F) ... 13.02 states/eV/cell

## AcCd11Sn (GGA-PBE)

Data for a relaxed structure of AcCd11Sn.

```
data_AcCd11Sn
_cell_length_a 6.412
_cell_length_b 14.260
_cell_length_c 7.657
_cell_angle_alpha 90.00
_cell_angle_beta 114.05
_cell_angle_gamma 90.00
_space_group_name_H-M_alt 'C 1 2/m 1'
_space_group_IT_number 12
_space_group_name_Hall '-C 2y'
loop_
_atom_site_label
_atom_site_fract_x
_atom_site_fract_y
_atom_site_fract_z
_atom_site_occupancy
Ac1 0.000 0.000 0.000 1
Cd1 0.000 0.500 0.500 1
Cd2 0.094 0.391 0.213 1
Cd3 0.187 0.178 0.353 1
Cd4 0.250 0.250 0.000 1
Sn1 0.000 0.000 0.500 1
```

Properties
M_tot ... 0.00 μB/cell
Formation energy ... -0.109 eV per atom
ρ ... 8.218 g/cm³
N(E_F) ... 9.05 states/eV/cell

## Ac4CdSn2 (GGA-PBE)

Data for a relaxed structure of Ac4CdSn2.

```
data_Ac4CdSn2
_cell_length_a 10.119
_cell_length_b 10.119
_cell_length_c 10.231
_cell_angle_alpha 90.00
_cell_angle_beta 90.00
_cell_angle_gamma 90.00
_space_group_name_H-M_alt 'I -4 2 d'
_space_group_IT_number 122
_space_group_name_Hall 'I -4 2bw'
loop_
_atom_site_label
_atom_site_fract_x
_atom_site_fract_y
_atom_site_fract_z
_atom_site_occupancy
Ac1 0.075 0.177 0.306 1
Cd1 0.000 0.000 0.000 1
Sn1 0.127 0.250 0.625 1
```

Properties
M_tot ... 0.00 μB/cell
Formation energy ... -0.480 eV per atom
ρ ... 7.974 g/cm³
N(E_F) ... 34.70 states/eV/cell

## Ac3CdSn (GGA-PBE)

Data for a relaxed structure of Ac3CdSn.

```
data_Ac3CdSn
_cell_length_a 9.976
_cell_length_b 5.757
_cell_length_c 13.576
_cell_angle_alpha 90.00
_cell_angle_beta 104.04
_cell_angle_gamma 90.00
_space_group_name_H-M_alt 'C 1 2/m 1'
_space_group_IT_number 12
_space_group_name_Hall '-C 2y'
loop_
_atom_site_label
_atom_site_fract_x
_atom_site_fract_y
_atom_site_fract_z
_atom_site_occupancy
Ac1 0.086 0.000 0.256 1
Ac2 0.133 0.500 0.901 1
Ac3 0.193 0.000 0.580 1
Cd1 0.037 0.500 0.615 1
Sn1 0.220 0.500 0.158 1
```

Properties
M_tot ... 0.00 μB/cell
Formation energy ... -0.362 eV per atom
ρ ... 8.010 g/cm³
N(E_F) ... 17.59 states/eV/cell

## Ac2Cd3Sn4 (GGA-PBE)

Data for a relaxed structure of Ac2Cd3Sn4.

```
data_Ac2Cd3Sn4
_cell_length_a 6.644
_cell_length_b 17.247
_cell_length_c 8.958
_cell_angle_alpha 90.00
_cell_angle_beta 90.00
_cell_angle_gamma 90.00
_space_group_name_H-M_alt 'C m c e'
_space_group_IT_number 64
_space_group_name_Hall '-C 2ac 2'
loop_
_atom_site_label
_atom_site_fract_x
_atom_site_fract_y
_atom_site_fract_z
_atom_site_occupancy
Ac1 0.000 0.116 0.080 1
Cd1 0.000 0.000 0.500 1
Cd2 0.250 0.216 0.750 1
Sn1 0.000 0.185 0.454 1
Sn2 0.250 0.048 0.750 1
```

Properties
M_tot ... 0.00 μB/cell
Formation energy ... -0.411 eV per atom
ρ ... 8.192 g/cm³
N(E_F) ... 21.38 states/eV/cell

## AcCd2Sn2 (GGA-PBE)

Data for a relaxed structure of AcCd2Sn2.

```
data_AcCd2Sn2
_cell_length_a 4.654
_cell_length_b 25.562
_cell_length_c 4.715
_cell_angle_alpha 90.00
_cell_angle_beta 90.00
_cell_angle_gamma 90.00
_space_group_name_H-M_alt 'C m c m'
_space_group_IT_number 63
_space_group_name_Hall '-C 2c 2'
loop_
_atom_site_label
_atom_site_fract_x
_atom_site_fract_y
_atom_site_fract_z
_atom_site_occupancy
Ac1 0.000 0.148 0.250 1
Cd1 0.000 0.038 0.750 1
Cd2 0.000 0.459 0.750 1
Sn1 0.000 0.249 0.750 1
Sn2 0.000 0.380 0.250 1
```

Properties
M_tot ... 0.00 μB/cell
Polymorph energy (0 for the lowest one) ... 0 meV per atom
Formation energy ... -0.354 eV per atom
ρ ... 8.162 g/cm³
N(E_F) ... 9.10 states/eV/cell

## Ac2Cd7Sn (GGA-PBE)

Data for a relaxed structure of Ac2Cd7Sn.

```
data_Ac2Cd7Sn
_cell_length_a 4.746
_cell_length_b 4.746
_cell_length_c 12.225
_cell_angle_alpha 90.00
_cell_angle_beta 90.00
_cell_angle_gamma 90.00
_space_group_name_H-M_alt 'P -4 m 2'
_space_group_IT_number 115
_space_group_name_Hall 'P -4 -2'
loop_
_atom_site_label
_atom_site_fract_x
_atom_site_fract_y
_atom_site_fract_z
_atom_site_occupancy
Ac1 0.000 0.500 0.249 1
Cd1 0.000 0.000 0.000 1
Cd2 0.000 0.000 0.500 1
Cd3 0.000 0.500 0.635 1
Cd4 0.000 0.500 0.861 1
Cd5 0.500 0.500 0.500 1
Sn1 0.500 0.500 0.000 1
```

Properties
M_tot ... 0.00 μB/cell
Formation energy ... -0.285 eV per atom
ρ ... 8.198 g/cm³
N(E_F) ... 6.71 states/eV/cell

## Ac4Cd2Sn (GGA-PBE)

Data for a relaxed structure of Ac4Cd2Sn.

```
data_Ac4Cd2Sn
_cell_length_a 5.7195
_cell_length_b 5.7195
_cell_length_c 27.7101
_cell_angle_alpha 90.00
_cell_angle_beta 90.00
_cell_angle_gamma 120.00
_space_group_name_H-M_alt 'R -3 m'
_space_group_IT_number 166
_space_group_name_Hall '-R 3 2"'
loop_
_atom_site_label
_atom_site_fract_x
_atom_site_fract_y
_atom_site_fract_z
_atom_site_occupancy
Ac1 0.0000 0.0000 0.1212 1
Ac2 0.0000 0.0000 0.3732 1
Cd1 0.0000 0.0000 0.2512 1
Sn1 0.0000 0.0000 0.5000 1
```

Properties
M_tot ... 0.00 μB/cell
Formation energy ... -0.256 eV per atom
ρ ... 7.942 g/cm³
N(E_F) ... 28.94 states/eV/cell

## Ac6CdSn3 (GGA-PBE)

Data for a relaxed structure of Ac6CdSn3.

```
data_Ac6CdSn3
_cell_length_a 11.934
_cell_length_b 16.404
_cell_length_c 7.915
_cell_angle_alpha 90.00
_cell_angle_beta 90.00
_cell_angle_gamma 90.00
_space_group_name_H-M_alt 'C m c 21'
_space_group_IT_number 36
_space_group_name_Hall 'C 2c -2'
loop_
_atom_site_label
_atom_site_fract_x
_atom_site_fract_y
_atom_site_fract_z
_atom_site_occupancy
Ac1 0.000 0.041 0.000 1
Ac2 0.000 0.292 0.047 1
Ac3 0.187 0.300 0.547 1
Ac4 0.220 0.458 0.180 1
Cd1 0.000 0.159 0.676 1
Sn1 0.000 0.456 0.457 1
Sn2 0.134 0.128 0.336 1
```

Properties
M_tot ... 0.00 μB/cell
Formation energy ... -0.370 eV per atom
ρ ... 7.846 g/cm³
N(E_F) ... 43.14 states/eV/cell

## Ac3CdSn2 (GGA-PBE)

Data for a relaxed structure of Ac3CdSn2.

```
data_Ac3CdSn2
_cell_length_a 13.335
_cell_length_b 4.907
_cell_length_c 13.075
_cell_angle_alpha 90.00
_cell_angle_beta 90.00
_cell_angle_gamma 90.00
_space_group_name_H-M_alt 'P n m a'
_space_group_IT_number 62
_space_group_name_Hall '-P 2ac 2n'
loop_
_atom_site_label
_atom_site_fract_x
_atom_site_fract_y
_atom_site_fract_z
_atom_site_occupancy
Ac1 0.049 0.250 0.124 1
Ac2 0.130 0.750 0.565 1
Ac3 0.207 0.250 0.802 1
Cd1 0.137 0.250 0.365 1
Sn1 0.016 0.750 0.319 1
Sn2 0.187 0.750 0.009 1
```

Properties
M_tot ... 0.01 μB/cell
Polymorph energy (0 for the lowest one) ... 0 meV per atom
Formation energy ... -0.564 eV per atom
ρ ... 8.002 g/cm³
N(E_F) ... 25.37 states/eV/cell

## AcCd12Sn6 (GGA-PBE)

Data for a relaxed structure of AcCd12Sn6.

```
data_AcCd12Sn6
_cell_length_a 13.7596
_cell_length_b 13.7596
_cell_length_c 9.4871
_cell_angle_alpha 90.00
_cell_angle_beta 90.00
_cell_angle_gamma 120.00
_space_group_name_H-M_alt 'R -3 m'
_space_group_IT_number 166
_space_group_name_Hall '-R 3 2"'
loop_
_atom_site_label
_atom_site_fract_x
_atom_site_fract_y
_atom_site_fract_z
_atom_site_occupancy
Ac1 0.0000 0.0000 0.0000 1
Cd1 0.0000 0.3983 0.5000 1
Cd2 0.0731 0.1462 0.3293 1
Sn1 0.0094 0.5047 0.2121 1
```

Properties
M_tot ... 0.00 μB/cell
Formation energy ... 0.021 eV per atom
ρ ... 7.328 g/cm³
N(E_F) ... 24.90 states/eV/cell

## Ac8CdSn5 (GGA-PBE)

Data for a relaxed structure of Ac8CdSn5.

```
data_Ac8CdSn5
_cell_length_a 10.160
_cell_length_b 10.160
_cell_length_c 10.229
_cell_angle_alpha 90.00
_cell_angle_beta 90.00
_cell_angle_gamma 90.00
_space_group_name_H-M_alt 'I -4'
_space_group_IT_number 82
_space_group_name_Hall 'I -4'
loop_
_atom_site_label
_atom_site_fract_x
_atom_site_fract_y
_atom_site_fract_z
_atom_site_occupancy
Ac1 0.069 0.177 0.303 1
Ac2 0.074 0.317 0.940 1
Cd1 0.000 0.500 0.250 1
Sn1 0.000 0.000 0.000 1
Sn2 0.126 0.251 0.622 1
```

Properties
M_tot ... 0.00 μB/cell
Formation energy ... -0.588 eV per atom
ρ ... 7.933 g/cm³
N(E_F) ... 22.47 states/eV/cell

## AcCdSn2 (GGA-PBE)

Data for a relaxed structure of AcCdSn2.

```
data_AcCdSn2
_cell_length_a 3.6317
_cell_length_b 3.6317
_cell_length_c 31.4282
_cell_angle_alpha 90.00
_cell_angle_beta 90.00
_cell_angle_gamma 120.00
_space_group_name_H-M_alt 'R -3 m'
_space_group_IT_number 166
_space_group_name_Hall '-R 3 2"'
loop_
_atom_site_label
_atom_site_fract_x
_atom_site_fract_y
_atom_site_fract_z
_atom_site_occupancy
Ac1 0.0000 0.0000 0.0000 1
Cd1 0.0000 0.0000 0.5000 1
Sn1 0.0000 0.0000 0.2406 1
```

Properties
M_tot ... 0.00 μB/cell
Polymorph energy (0 for the lowest one) ... 339 meV per atom
Formation energy ... -0.113 eV per atom
ρ ... 8.005 g/cm³
N(E_F) ... 6.07 states/eV/cell

## AcCdSn (GGA-PBE)

Data for a relaxed structure of AcCdSn.

```
data_AcCdSn
_cell_length_a 7.356
_cell_length_b 7.356
_cell_length_c 7.356
_cell_angle_alpha 90.00
_cell_angle_beta 90.00
_cell_angle_gamma 90.00
_space_group_name_H-M_alt 'F -4 3 m'
_space_group_IT_number 216
_space_group_name_Hall 'F -4 2 3'
loop_
_atom_site_label
_atom_site_fract_x
_atom_site_fract_y
_atom_site_fract_z
_atom_site_occupancy
Ac1 0.000 0.000 0.000 1
Cd1 0.250 0.250 0.250 1
Sn1 0.000 0.000 0.500 1
```

Properties
M_tot ... 0.00 μB/cell
Polymorph energy (0 for the lowest one) ... 221 meV per atom
Formation energy ... -0.339 eV per atom
ρ ... 7.646 g/cm³
N(E_F) ... 7.87 states/eV/cell

## Ac2Cd5Sn3 (GGA-PBE)

Data for a relaxed structure of Ac2Cd5Sn3.

```
data_Ac2Cd5Sn3
_cell_length_a 11.894
_cell_length_b 13.901
_cell_length_c 6.786
_cell_angle_alpha 90.00
_cell_angle_beta 90.00
_cell_angle_gamma 90.00
_space_group_name_H-M_alt 'I b a m'
_space_group_IT_number 72
_space_group_name_Hall '-I 2 2c'
loop_
_atom_site_label
_atom_site_fract_x
_atom_site_fract_y
_atom_site_fract_z
_atom_site_occupancy
Ac1 0.233 0.125 0.000 1
Cd1 0.000 0.275 0.250 1
Cd2 0.000 0.500 0.250 1
Cd3 0.115 0.145 0.500 1
Sn1 0.000 0.000 0.250 1
Sn2 0.154 0.387 0.000 1
```

Properties
M_tot ... 0.00 μB/cell
Polymorph energy (0 for the lowest one) ... 0 meV per atom
Formation energy ... -0.344 eV per atom
ρ ... 8.124 g/cm³
N(E_F) ... 11.19 states/eV/cell

## Ac5Cd2Sn4 (GGA-PBE)

Data for a relaxed structure of Ac5Cd2Sn4.

```
data_Ac5Cd2Sn4
_cell_length_a 22.210
_cell_length_b 4.747
_cell_length_c 8.139
_cell_angle_alpha 90.00
_cell_angle_beta 106.72
_cell_angle_gamma 90.00
_space_group_name_H-M_alt 'C 1 2/m 1'
_space_group_IT_number 12
_space_group_name_Hall '-C 2y'
loop_
_atom_site_label
_atom_site_fract_x
_atom_site_fract_y
_atom_site_fract_z
_atom_site_occupancy
Ac1 0.000 0.000 0.000 1
Ac2 0.157 0.500 0.423 1
Ac3 0.160 0.500 0.934 1
Cd1 0.072 0.000 0.612 1
Sn1 0.003 0.500 0.698 1
Sn2 0.214 0.000 0.718 1
```

Properties
M_tot ... 0.02 μB/cell
Formation energy ... -0.354 eV per atom
ρ ... 7.414 g/cm³
N(E_F) ... 22.17 states/eV/cell

## Ac2CdSn2 (GGA-PBE)

Data for a relaxed structure of Ac2CdSn2.

```
data_Ac2CdSn2
_cell_length_a 8.175
_cell_length_b 8.175
_cell_length_c 9.865
_cell_angle_alpha 90.00
_cell_angle_beta 90.00
_cell_angle_gamma 90.00
_space_group_name_H-M_alt 'P 4/m n c'
_space_group_IT_number 128
_space_group_name_Hall '-P 4 2n'
loop_
_atom_site_label
_atom_site_fract_x
_atom_site_fract_y
_atom_site_fract_z
_atom_site_occupancy
Ac1 0.176 0.324 0.000 1
Cd1 0.000 0.000 0.249 1
Sn1 0.127 0.627 0.250 1
```

Properties
M_tot ... 0.00 μB/cell
Formation energy ... -0.601 eV per atom
ρ ... 8.098 g/cm³
N(E_F) ... 7.35 states/eV/cell

## AcCdSn2 (GGA-PBE)

Data for a relaxed structure of AcCdSn2.

```
data_AcCdSn2
_cell_length_a 3.995
_cell_length_b 3.995
_cell_length_c 7.376
_cell_angle_alpha 90.00
_cell_angle_beta 90.00
_cell_angle_gamma 90.00
_space_group_name_H-M_alt 'P 4/m m m'
_space_group_IT_number 123
_space_group_name_Hall '-P 4 2'
loop_
_atom_site_label
_atom_site_fract_x
_atom_site_fract_y
_atom_site_fract_z
_atom_site_occupancy
Ac1 0.000 0.000 0.000 1
Cd1 0.000 0.000 0.500 1
Sn1 0.500 0.500 0.295 1
```

Properties
M_tot ... 0.00 μB/cell
Polymorph energy (0 for the lowest one) ... 162 meV per atom
Formation energy ... -0.289 eV per atom
ρ ... 8.136 g/cm³
N(E_F) ... 3.85 states/eV/cell

## Ac3Cd8Sn3 (GGA-PBE)

Data for a relaxed structure of Ac3Cd8Sn3.

```
data_Ac3Cd8Sn3
_cell_length_a 4.862
_cell_length_b 11.443
_cell_length_c 14.003
_cell_angle_alpha 90.00
_cell_angle_beta 90.00
_cell_angle_gamma 90.00
_space_group_name_H-M_alt 'I m m m'
_space_group_IT_number 71
_space_group_name_Hall '-I 2 2'
loop_
_atom_site_label
_atom_site_fract_x
_atom_site_fract_y
_atom_site_fract_z
_atom_site_occupancy
Ac1 0.000 0.000 0.000 1
Ac2 0.000 0.000 0.321 1
Cd1 0.000 0.264 0.148 1
Cd2 0.000 0.377 0.335 1
Sn1 0.000 0.217 0.500 1
Sn2 0.000 0.500 0.000 1
```

Properties
M_tot ... 0.00 μB/cell
Formation energy ... -0.343 eV per atom
ρ ... 8.255 g/cm³
N(E_F) ... 14.47 states/eV/cell

Number 1: electronic total energy -0.129 hartree per atom. Number 2: electronic total energy -0.055 hartree per atom. Number 3: electronic total energy -0.151 hartree per atom. Number 4: electronic total energy -0.140 hartree per atom. Number 5: electronic total energy -0.125 hartree per atom. Number 6: electronic total energy -0.115 hartree per atom. Number 7: electronic total energy -0.079 hartree per atom. Number 8: electronic total energy -0.126 hartree per atom. Number 9: electronic total energy -0.152 hartree per atom. Number 10: electronic total energy -0.151 hartree per atom. Number 11: electronic total energy -0.075 hartree per atom. Number 12: electronic total energy -0.163 hartree per atom. Number 13: electronic total energy -0.124 hartree per atom. Number 14: electronic total energy -0.123 hartree per atom. Number 15: electronic total energy -0.104 hartree per atom. Number 16: electronic total energy -0.141 hartree per atom. Number 17: electronic total energy -0.148 hartree per atom. Number 18: electronic total energy -0.130 hartree per atom. Number 19: electronic total energy -0.096 hartree per atom.